(1)
! LiCa5Zn2, relaxed, DFT PBE; values from VASP
! - energy (eV per cell) = -31.05
! - energy of formation from the pure elements (meV/atom) = -132
! - density (g cm⁻³) = 2.24
! - symmetry = I4/mcm (140)
&SYSTEM
  ibrav = 0, nat = 16, ntyp = 3
/
ATOMIC_SPECIES
Li 6.94 Li.upf
Ca 40.08 Ca.upf
Zn 65.41 Zn.upf
ATOMIC_POSITIONS crystal
Li 0.2500 0.2500 0.0000
Li 0.7500 0.7500 0.0000
Ca 0.0000 0.0000 0.0000
Ca 0.0228 0.5228 0.8277
Ca 0.1951 0.0228 0.5000
Ca 0.3049 0.8049 0.8277
Ca 0.4772 0.3049 0.5000
Ca 0.5000 0.5000 0.0000
Ca 0.5228 0.6951 0.5000
Ca 0.6951 0.1951 0.1723
Ca 0.8049 0.9772 0.5000
Ca 0.9772 0.4772 0.1723
Zn 0.1230 0.3770 0.5000
Zn 0.3770 0.8770 0.2540
Zn 0.6230 0.1230 0.7460
Zn 0.8770 0.6230 0.5000
CELL_PARAMETERS angstrom
-4.1078 4.1078 7.4136
4.1078 -4.1078 7.4136
4.1078 4.1078 -7.4136

(2)
! LiCaZn2, relaxed, DFT PBE; values from VASP
! - energy (eV per cell) = -14.33
! - energy of formation from the pure elements (meV/atom) = -176
! - density (g cm⁻³) = 3.54
! - symmetry = Cmcm (63)
! - energy above the most stable polymorph in this dataset (eV/atom) = 0.005
&SYSTEM
  ibrav = 0, nat = 8, ntyp = 3
/
ATOMIC_SPECIES
Li 6.94 Li.upf
Ca 40.08 Ca.upf
Zn 65.41 Zn.upf
ATOMIC_POSITIONS crystal
Li 0.2083 0.7917 0.7500
Li 0.7917 0.2083 0.2500
Ca 0.0934 0.9066 0.2500
Ca 0.9066 0.0934 0.7500
Zn 0.3830 0.6170 0.0639
Zn 0.3830 0.6170 0.4361
Zn 0.6170 0.3830 0.5639
Zn 0.6170 0.3830 0.9361
CELL_PARAMETERS angstrom
2.3901 -5.1785 0.0000
2.3901 5.1785 0.0000
0.0000 0.0000 6.7447